Entry 1:
Compound: LiReP2
Source: Alexandria
Functional: GGA-PBE
Structure: optimized geometry

Computed properties:
- Spin magnetization: 0.0 μB per formula unit
- Space group: P4/mmm, No. 123
- Calculated volume: 59 Å³/f.u.
- Total energy: -26.45 eV per cell
- DOS at the Fermi energy: 0.38 states/eV/cell

Geometry as POSCAR:
```
LiReP2
1.0
2.947 0.000 0.000
0.000 2.947 0.000
0.000 0.000 6.757
Li Re P
1 1 2
Cartesian
0.000 0.000 0.000
0.000 0.000 3.378
1.473 1.473 1.932
1.473 1.473 4.824
```



Entry 2:
Compound: Sr2PuW2N6
Source: Alexandria
Functional: GGA-PBE
Structure: optimized geometry

Computed properties:
- Spin magnetization: 4.0 μB per formula unit
- Space group: R-3m, No. 166
- Calculated volume: 198 Å³/f.u.
- Total energy: -101.37 eV per cell
- Energy relative to the elements, uncorrected: -0.71 eV per atom
- DOS at the Fermi energy: 8.78 states/eV/cell

Geometry as POSCAR:
```
Sr2PuW2N6
1.0
3.066 1.770 6.066
-3.066 1.770 6.066
0.000 -3.541 6.066
Sr Pu W N
2 1 2 6
Cartesian
0.000 0.000 3.709
0.000 0.000 14.488
0.000 0.000 0.000
0.000 0.000 7.780
0.000 0.000 10.417
-1.591 -0.918 10.640
0.000 -1.837 7.557
-1.591 0.918 7.557
1.591 -0.918 10.640
0.000 1.837 10.640
1.591 0.918 7.557
```



Entry 3:
Compound: PrHo2Tm9
Source: Alexandria
Functional: GGA-PBE
Structure: optimized geometry

Computed properties:
- Spin magnetization: 0.0 μB per formula unit
- Space group: P6/mmm, No. 191
- Calculated volume: 372 Å³/f.u.
- Total energy: -53.68 eV per cell
- DOS at the Fermi energy: 16.71 states/eV/cell

Geometry as POSCAR:
```
PrHo2Tm9
1.0
11.092 0.000 0.000
-5.546 9.606 0.000
0.000 0.000 3.488
Pr Ho Tm
1 2 9
Cartesian
0.000 0.000 0.000
0.000 6.404 0.000
5.546 3.202 0.000
-2.773 4.803 0.000
0.000 3.439 1.744
-2.568 7.886 1.744
2.978 1.719 1.744
5.546 0.000 0.000
2.773 4.803 0.000
2.568 7.886 1.744
8.114 1.719 1.744
5.546 6.167 1.744
```



Entry 4:
Compound: Sm6Ho8Th
Source: Alexandria
Functional: GGA-PBE
Structure: optimized geometry

Computed properties:
- Spin magnetization: 0.0 μB per formula unit
- Space group: R-3, No. 148
- Calculated volume: 492 Å³/f.u.
- Total energy: -70.51 eV per cell
- DOS at the Fermi energy: 23.03 states/eV/cell

Geometry as POSCAR:
```
Sm6Ho8Th
1.0
4.532 2.617 6.911
-4.532 2.617 6.911
0.000 -5.234 6.911
Sm Ho Th
6 8 1
Cartesian
-3.137 -1.150 9.468
-0.573 -3.292 11.266
-2.564 2.142 11.266
2.564 -2.142 9.468
0.573 3.292 9.468
3.137 1.150 11.266
0.000 0.000 1.598
-0.160 -1.977 7.483
-1.632 1.127 7.483
-1.792 -0.850 13.251
1.792 0.850 7.483
1.632 -1.127 13.251
0.160 1.977 13.251
0.000 0.000 19.136
0.000 0.000 10.367
```



Entry 5:
Compound: EuVH2
Source: Alexandria
Functional: GGA-PBE
Structure: optimized geometry

Computed properties:
- Spin magnetization: 6.2 μB per formula unit
- Space group: R-3m, No. 166
- Calculated volume: 49 Å³/f.u.
- Total energy: -77.65 eV per cell
- DOS at the Fermi energy: 8.76 states/eV/cell

Geometry as POSCAR:
```
EuVH2
1.0
3.134 0.000 0.000
-1.567 2.714 0.000
0.000 0.000 17.296
Eu V H
3 3 6
Cartesian
0.000 0.000 0.000
0.000 1.810 11.531
1.567 0.905 5.765
0.000 0.000 8.648
0.000 1.810 2.883
1.567 0.905 14.414
0.000 0.000 2.302
0.000 0.000 14.994
0.000 1.810 9.229
0.000 1.810 13.833
1.567 0.905 3.463
1.567 0.905 8.068
```



Entry 6:
Compound: MnCdMo2
Source: Alexandria
Functional: GGA-PBE
Structure: optimized geometry

Computed properties:
- Spin magnetization: 2.9 μB per formula unit
- Space group: Pm, No. 6
- Calculated volume: 65 Å³/f.u.
- Total energy: -30.33 eV per cell
- DOS at the Fermi energy: 2.66 states/eV/cell

Geometry as POSCAR:
```
MnCdMo2
1.0
2.711 0.000 0.000
0.000 4.375 0.000
-1.137 0.000 5.505
Mn Cd Mo
1 1 2
Cartesian
0.000 0.000 0.000
-0.199 2.187 4.059
1.028 0.000 2.513
1.799 2.187 1.269
```



Entry 7:
Compound: Be7Cu6
Source: Alexandria
Functional: GGA-PBE
Structure: optimized geometry

Computed properties:
- Spin magnetization: 0.0 μB per formula unit
- Space group: R-3m, No. 166
- Calculated volume: 125 Å³/f.u.
- Total energy: -52.23 eV per cell
- DOS at the Fermi energy: 1.39 states/eV/cell

Geometry as POSCAR:
```
Be7Cu6
1.0
2.152 1.243 7.770
-2.152 1.243 7.770
0.000 -2.485 7.770
Be Cu
7 6
Cartesian
0.000 0.000 0.000
0.000 -1.242 5.983
-1.076 0.621 5.983
-1.076 -0.621 17.326
1.076 0.621 5.983
1.076 -0.621 17.326
0.000 1.242 17.326
0.000 0.000 3.913
0.000 0.000 8.068
0.000 0.000 10.500
0.000 0.000 12.809
0.000 0.000 15.241
0.000 0.000 19.396
```



Entry 8:
Compound: K4Cd2N
Source: Alexandria
Functional: GGA-PBE
Structure: optimized geometry

Computed properties:
- Spin magnetization: 0.0 μB per formula unit
- Space group: I4/mmm, No. 139
- Calculated volume: 302 Å³/f.u.
- Total energy: -27.02 eV per cell
- Energy relative to the elements, uncorrected: 0.15 eV per atom
- DOS at the Fermi energy: 8.33 states/eV/cell

Geometry as POSCAR:
```
K4Cd2N
1.0
5.598 0.000 0.000
0.000 5.598 0.000
0.000 0.000 19.284
K Cd N
8 4 2
Cartesian
0.000 0.000 3.799
0.000 0.000 15.485
0.000 2.799 0.000
0.000 2.799 9.642
2.799 0.000 0.000
2.799 0.000 9.642
2.799 2.799 5.843
2.799 2.799 13.441
0.000 0.000 7.443
0.000 0.000 11.841
2.799 2.799 2.199
2.799 2.799 17.086
0.000 0.000 9.642
2.799 2.799 0.000
```



Question: What is the spin magnetization in the fourth record?
Answer: 0.0 μB per formula unit